Record 1
The following is a DFT calculation (PBE) of a geometry-optimized UZnCoSn structure.

- M_tot (μB per formula unit) = 1.45
- formation energy from the elements (meV/atom) = 26

Cell and atoms, written as extended XYZ:
```
16
Lattice="6.623 0.000 0.000 0.000 6.623 0.000 0.000 0.000 6.623" Properties=species:S:1:pos:R:3 pbc="T T T"
U 0.000 0.000 0.000
U 0.000 3.312 3.312
U 3.312 0.000 3.312
U 3.312 3.312 0.000
Zn 1.656 1.656 4.968
Zn 1.656 4.968 1.656
Zn 4.968 1.656 1.656
Zn 4.968 4.968 4.968
Co 1.656 1.656 1.656
Co 1.656 4.968 4.968
Co 4.968 1.656 4.968
Co 4.968 4.968 1.656
Sn 0.000 0.000 3.312
Sn 0.000 3.312 0.000
Sn 3.312 0.000 0.000
Sn 3.312 3.312 3.312
```

Record 2
The following is a DFT calculation (PBE) of a geometry-optimized V6CoSn structure.

- M_tot (μB per formula unit) = 0.00
- formation energy from the elements (meV/atom) = 193

Cell and atoms, written as extended XYZ:
```
8
Lattice="4.469 2.580 1.649 -4.469 2.580 1.649 0.000 -5.161 1.649" Properties=species:S:1:pos:R:3 pbc="T T T"
V 0.000 -2.488 2.042
V -2.155 1.244 2.042
V -2.155 -1.244 2.904
V 2.155 1.244 2.042
V 2.155 -1.244 2.904
V 0.000 2.488 2.904
Co 0.000 0.000 2.473
Sn 0.000 0.000 0.000
```

What did the second record say?
The following is a DFT calculation (PBE) of a geometry-optimized V6CoSn structure.

- M_tot (μB per formula unit) = 0.00
- formation energy from the elements (meV/atom) = 193

Cell and atoms, written as extended XYZ:
```
8
Lattice="4.469 2.580 1.649 -4.469 2.580 1.649 0.000 -5.161 1.649" Properties=species:S:1:pos:R:3 pbc="T T T"
V 0.000 -2.488 2.042
V -2.155 1.244 2.042
V -2.155 -1.244 2.904
V 2.155 1.244 2.042
V 2.155 -1.244 2.904
V 0.000 2.488 2.904
Co 0.000 0.000 2.473
Sn 0.000 0.000 0.000
```